An optimized crystal structure of MoHOF2. Source: Alexandria via LeMat-Bulk, functional PBE+U.

Geometry as extended XYZ:
```
5
Lattice="-1.0550 -4.0461 -0.2361 1.7397 -0.2317 -3.8025 3.3715 -0.9726 1.6018" Properties=species:S:1:pos:R:3 pbc="T T T"
H 2.0281 -2.6252 -1.2184
Mo 0.0000 0.0000 0.0000
O 1.6857 -0.4863 0.8009
F 0.8698 -0.1159 -1.9013
F -0.5275 -2.0230 -0.1181
```

Properties
- Magnetic moment: 3.000 μB per formula unit
- Relative energy among the computed polymorphs: 0.0 meV/atom
- DFT total energy: -5.111 eV/atom